[1]
Ce6Ge3H | PBE-GGA | optimized geometry

CIF file:
```
data_Ce6Ge3H
_chemical_formula_sum 'Ce6 Ge3 H1'
_space_group_name_H-M_alt 'P 1'
_space_group_IT_number 1
_space_group_name_Hall 'P 1'
_cell_length_a 7.4767
_cell_length_b 5.9919
_cell_length_c 5.9919
_cell_angle_alpha 61.53
_cell_angle_beta 78.82
_cell_angle_gamma 78.82
loop_
_atom_site_label
_atom_site_type_symbol
_atom_site_fract_x
_atom_site_fract_y
_atom_site_fract_z
Ce1 Ce 0.1135 0.6448 0.6448
Ce2 Ce 0.6245 0.8912 0.3553
Ce3 Ce 0.3755 0.6447 0.1088
Ce4 Ce 0.6245 0.3553 0.8912
Ce5 Ce 0.8865 0.3552 0.3552
Ce6 Ce 0.3755 0.1088 0.6447
Ge1 Ge 0.7453 0.8437 0.8437
Ge2 Ge 0.0000 0.0000 0.0000
Ge3 Ge 0.2547 0.1563 0.1563
H1 H 0.5000 0.5000 0.5000
```

## Properties
* total DFT energy (no corrections): -5.7042 eV per atom
* SG: C2/m (12)
* crystal system: monoclinic
* M_tot: 0.56 μB/atom
* Fermi-level density of states: 26.3 states/eV/cell
* distance to the lowest polymorph of the same formula: 99 meV/atom



[2]
Ce2GeH | PBE-GGA | optimized geometry

CIF file:
```
data_Ce2GeH
_chemical_formula_sum 'Ce2 Ge1 H1'
_space_group_name_H-M_alt 'P 1'
_space_group_IT_number 1
_space_group_name_Hall 'P 1'
_cell_length_a 3.2728
_cell_length_b 3.2728
_cell_length_c 6.8745
_cell_angle_alpha 90.00
_cell_angle_beta 90.00
_cell_angle_gamma 90.00
loop_
_atom_site_label
_atom_site_type_symbol
_atom_site_fract_x
_atom_site_fract_y
_atom_site_fract_z
Ce1 Ce 0.0000 0.0000 0.2028
Ce2 Ce 0.0000 0.0000 0.7972
H1 H 0.5000 0.5000 0.0000
Ge1 Ge 0.5000 0.5000 0.5000
```

## Properties
* total DFT energy (no corrections): -5.2785 eV per atom
* SG: P4/mmm (123)
* crystal system: tetragonal
* M_tot: 0.18 μB/atom
* Fermi-level density of states: 6.1 states/eV/cell
* distance to the lowest polymorph of the same formula: 292 meV/atom



[3]
Ce2GeHIr6 | PBE-GGA | optimized geometry

CIF file:
```
data_Ce2GeHIr6
_chemical_formula_sum 'Ce2 Ge1 H1 Ir6'
_space_group_name_H-M_alt 'P 1'
_space_group_IT_number 1
_space_group_name_Hall 'P 1'
_cell_length_a 5.5979
_cell_length_b 6.8781
_cell_length_c 6.8682
_cell_angle_alpha 48.21
_cell_angle_beta 65.92
_cell_angle_gamma 90.01
loop_
_atom_site_label
_atom_site_type_symbol
_atom_site_fract_x
_atom_site_fract_y
_atom_site_fract_z
Ir1 Ir 0.7312 0.7811 0.5395
Ir2 Ir 0.2682 0.7275 0.9552
Ir3 Ir 0.2270 0.2720 0.0427
Ir4 Ir 0.7318 0.2725 0.0448
Ir5 Ir 0.2688 0.2189 0.4605
Ir6 Ir 0.7730 0.7280 0.9573
Ge1 Ge 0.0000 0.0000 0.0000
Ce1 Ce 0.2801 0.7228 0.4410
Ce2 Ce 0.7199 0.2772 0.5590
H1 H 0.5000 0.5000 0.0000
```

## Properties
* total DFT energy (no corrections): -7.7322 eV per atom
* SG: P-1 (2)
* crystal system: triclinic
* M_tot: 0.00 μB/atom
* Fermi-level density of states: 7.2 states/eV/cell



[4]
CeGeHIr | PBE-GGA | optimized geometry

CIF file:
```
data_CeGeHIr
_chemical_formula_sum 'Ce1 Ge1 H1 Ir1'
_space_group_name_H-M_alt 'P 1'
_space_group_IT_number 1
_space_group_name_Hall 'P 1'
_cell_length_a 4.4124
_cell_length_b 4.4123
_cell_length_c 3.7758
_cell_angle_alpha 90.00
_cell_angle_beta 90.00
_cell_angle_gamma 120.00
loop_
_atom_site_label
_atom_site_type_symbol
_atom_site_fract_x
_atom_site_fract_y
_atom_site_fract_z
Ce1 Ce 0.5719 0.1439 0.3097
Ir1 Ir 0.2386 0.4771 0.8098
H1 H 0.2386 0.4771 0.3098
Ge1 Ge 0.9053 0.8106 0.8098
```

## Properties
* total DFT energy (no corrections): -6.4295 eV per atom
* SG: P-6m2 (187)
* crystal system: hexagonal
* M_tot: 0.00 μB/atom
* Fermi-level density of states: 4.5 states/eV/cell



[5]
La2Ce4Ge3H2 | PBE-GGA | optimized geometry

CIF file:
```
data_La2Ce4Ge3H2
_chemical_formula_sum 'La2 Ce4 Ge3 H2'
_space_group_name_H-M_alt 'P 1'
_space_group_IT_number 1
_space_group_name_Hall 'P 1'
_cell_length_a 4.5764
_cell_length_b 4.5764
_cell_length_c 12.7850
_cell_angle_alpha 100.31
_cell_angle_beta 100.31
_cell_angle_gamma 90.00
loop_
_atom_site_label
_atom_site_type_symbol
_atom_site_fract_x
_atom_site_fract_y
_atom_site_fract_z
Ce1 Ce 0.9207 0.4207 0.8413
Ce2 Ce 0.4207 0.9207 0.8413
Ce3 Ce 0.0793 0.5793 0.1587
Ce4 Ce 0.5793 0.0793 0.1587
H1 H 0.3959 0.3959 0.7918
H2 H 0.6041 0.6041 0.2082
La1 La 0.2977 0.2977 0.5954
La2 La 0.7023 0.7023 0.4046
Ge1 Ge 0.1682 0.1682 0.3364
Ge2 Ge 0.8318 0.8318 0.6636
Ge3 Ge 0.0000 0.0000 0.0000
```

## Properties
* total DFT energy (no corrections): -5.4948 eV per atom
* SG: I4/mmm (139)
* crystal system: tetragonal
* M_tot: 0.28 μB/atom
* Fermi-level density of states: 19.0 states/eV/cell



[6]
Ce2Mg4Ge3H2 | PBE-GGA | optimized geometry

CIF file:
```
data_Ce2Mg4Ge3H2
_chemical_formula_sum 'Ce2 Mg4 Ge3 H2'
_space_group_name_H-M_alt 'P 1'
_space_group_IT_number 1
_space_group_name_Hall 'P 1'
_cell_length_a 4.2725
_cell_length_b 4.2725
_cell_length_c 11.8094
_cell_angle_alpha 100.42
_cell_angle_beta 100.42
_cell_angle_gamma 90.00
loop_
_atom_site_label
_atom_site_type_symbol
_atom_site_fract_x
_atom_site_fract_y
_atom_site_fract_z
Mg1 Mg 0.0751 0.5751 0.1503
Mg2 Mg 0.4249 0.9249 0.8497
Mg3 Mg 0.9249 0.4249 0.8497
Mg4 Mg 0.5751 0.0751 0.1503
Ge1 Ge 0.0000 0.0000 0.0000
Ge2 Ge 0.1681 0.1681 0.3363
Ge3 Ge 0.8319 0.8319 0.6637
H1 H 0.5911 0.5911 0.1822
H2 H 0.4089 0.4089 0.8178
Ce1 Ce 0.6935 0.6935 0.3870
Ce2 Ce 0.3065 0.3065 0.6130
```

## Properties
* total DFT energy (no corrections): -3.9373 eV per atom
* SG: I4/mmm (139)
* crystal system: tetragonal
* M_tot: 0.18 μB/atom
* Fermi-level density of states: 10.0 states/eV/cell



[7]
CeMgGeH | PBE-GGA | optimized geometry

CIF file:
```
data_CeMgGeH
_chemical_formula_sum 'Ce2 Mg2 Ge2 H2'
_space_group_name_H-M_alt 'P 1'
_space_group_IT_number 1
_space_group_name_Hall 'P 1'
_cell_length_a 4.2470
_cell_length_b 4.2470
_cell_length_c 7.9225
_cell_angle_alpha 90.00
_cell_angle_beta 90.00
_cell_angle_gamma 90.00
loop_
_atom_site_label
_atom_site_type_symbol
_atom_site_fract_x
_atom_site_fract_y
_atom_site_fract_z
H1 H 0.0000 0.0000 0.0000
H2 H 0.5000 0.5000 0.0000
Mg1 Mg 0.0000 0.0000 0.5000
Mg2 Mg 0.5000 0.5000 0.5000
Ce1 Ce 0.0000 0.5000 0.8640
Ce2 Ce 0.5000 0.0000 0.1360
Ge1 Ge 0.5000 0.0000 0.7255
Ge2 Ge 0.0000 0.5000 0.2745
```

## Properties
* total DFT energy (no corrections): -4.4532 eV per atom
* SG: P4/nmm (129)
* crystal system: tetragonal
* M_tot: 0.25 μB/atom
* Fermi-level density of states: 13.3 states/eV/cell



[8]
CeNdGeH | PBE-GGA | optimized geometry

CIF file:
```
data_CeNdGeH
_chemical_formula_sum 'Ce2 Nd2 Ge2 H2'
_space_group_name_H-M_alt 'P 1'
_space_group_IT_number 1
_space_group_name_Hall 'P 1'
_cell_length_a 4.1934
_cell_length_b 4.1934
_cell_length_c 9.0927
_cell_angle_alpha 90.00
_cell_angle_beta 90.00
_cell_angle_gamma 90.00
loop_
_atom_site_label
_atom_site_type_symbol
_atom_site_fract_x
_atom_site_fract_y
_atom_site_fract_z
Ce1 Ce 0.5000 0.5000 0.5000
Ce2 Ce 0.0000 0.0000 0.5000
Ge1 Ge 0.0000 0.5000 0.2558
Ge2 Ge 0.5000 0.0000 0.7442
Nd1 Nd 0.0000 0.5000 0.8725
Nd2 Nd 0.5000 0.0000 0.1275
H1 H 0.5000 0.5000 0.0000
H2 H 0.0000 0.0000 0.0000
```

## Properties
* total DFT energy (no corrections): -5.3395 eV per atom
* SG: P4/nmm (129)
* crystal system: tetragonal
* M_tot: 0.00 μB/atom
* Fermi-level density of states: 3.0 states/eV/cell



[9]
Ce2NiGe2H4 | PBE-GGA | optimized geometry

CIF file:
```
data_Ce2NiGe2H4
_chemical_formula_sum 'Ce2 Ni1 Ge2 H4'
_space_group_name_H-M_alt 'P 1'
_space_group_IT_number 1
_space_group_name_Hall 'P 1'
_cell_length_a 5.5477
_cell_length_b 5.5477
_cell_length_c 5.5477
_cell_angle_alpha 93.91
_cell_angle_beta 117.77
_cell_angle_gamma 117.77
loop_
_atom_site_label
_atom_site_type_symbol
_atom_site_fract_x
_atom_site_fract_y
_atom_site_fract_z
Ce1 Ce 0.5000 0.2500 0.7500
Ce2 Ce 0.5000 0.7500 0.2500
Ge1 Ge 0.0000 0.6708 0.6708
Ge2 Ge 0.0000 0.3292 0.3292
H1 H 0.6088 0.8044 0.8044
H2 H 0.3912 0.1956 0.1956
H3 H 0.0000 0.8044 0.1956
H4 H 0.0000 0.1956 0.8044
Ni1 Ni 0.0000 0.0000 0.0000
```

## Properties
* total DFT energy (no corrections): -4.7014 eV per atom
* SG: I4/mmm (139)
* crystal system: tetragonal
* M_tot: 0.06 μB/atom
* Fermi-level density of states: 8.9 states/eV/cell



[10]
Ce2NiGeH | PBE-GGA | optimized geometry

CIF file:
```
data_Ce2NiGeH
_chemical_formula_sum 'Ce4 Ni2 Ge2 H2'
_space_group_name_H-M_alt 'P 1'
_space_group_IT_number 1
_space_group_name_Hall 'P 1'
_cell_length_a 4.0151
_cell_length_b 6.1593
_cell_length_c 8.0401
_cell_angle_alpha 107.82
_cell_angle_beta 90.00
_cell_angle_gamma 90.00
loop_
_atom_site_label
_atom_site_type_symbol
_atom_site_fract_x
_atom_site_fract_y
_atom_site_fract_z
Ge1 Ge 0.2500 0.6796 0.2977
Ge2 Ge 0.7500 0.3204 0.7023
H1 H 0.7500 0.1606 0.1709
H2 H 0.2500 0.8394 0.8291
Ce1 Ce 0.2500 0.2219 0.4048
Ce2 Ce 0.7500 0.7543 0.0338
Ce3 Ce 0.2500 0.2457 0.9662
Ce4 Ce 0.7500 0.7781 0.5952
Ni1 Ni 0.7500 0.4343 0.2369
Ni2 Ni 0.2500 0.5657 0.7631
```

## Properties
* total DFT energy (no corrections): -5.6875 eV per atom
* SG: P2_1/m (11)
* crystal system: monoclinic
* M_tot: 0.31 μB/atom
* Fermi-level density of states: 17.1 states/eV/cell



Q: The highest M_tot belongs to which entry?
A: Ce6Ge3H